# 1
This record from Alexandria via LeMat-Bulk describes crystalline BaMoC2 at its relaxed geometry. The functional is PBE.

Cell and atoms, written as CIF:
```
data_BaMoC2
_chemical_formula_sum 'Ba4 Mo4 C8'
_symmetry_space_group_name_H-M 'I -4 2 d'
_symmetry_Int_Tables_number 122
_symmetry_space_group_name_Hall 'I -4 2bw'
_cell_length_a 6.012
_cell_length_b 6.012
_cell_length_c 8.560
_cell_angle_alpha 90.00
_cell_angle_beta 90.00
_cell_angle_gamma 90.00
loop_
_atom_site_label
_atom_site_type_symbol
_atom_site_fract_x
_atom_site_fract_y
_atom_site_fract_z
Ba1 Ba 0.000 0.000 0.000
Mo1 Mo 0.000 0.000 0.500
C1 C 0.112 0.250 0.625
```

Properties
Total moment = 0.00 Bohr magnetons per cell
E = -120.0 eV for the cell shown
Volume = 19.34 Å³/atom



# 2
This record from Alexandria via LeMat-Bulk describes crystalline BaMoCN2 at its relaxed geometry. The functional is PBE.

Cell and atoms, written as CIF:
```
data_BaMoCN2
_chemical_formula_sum 'Ba1 Mo1 C1 N2'
_symmetry_space_group_name_H-M 'P 4/m m m'
_symmetry_Int_Tables_number 123
_symmetry_space_group_name_Hall '-P 4 2'
_cell_length_a 4.120
_cell_length_b 4.120
_cell_length_c 4.242
_cell_angle_alpha 90.00
_cell_angle_beta 90.00
_cell_angle_gamma 90.00
loop_
_atom_site_label
_atom_site_type_symbol
_atom_site_fract_x
_atom_site_fract_y
_atom_site_fract_z
Ba1 Ba 0.000 0.000 0.000
Mo1 Mo 0.500 0.500 0.500
C1 C 0.500 0.500 0.000
N1 N 0.000 0.500 0.500
```

Properties
Total moment = 1.10 Bohr magnetons per cell
E = -37.5 eV for the cell shown
Volume = 14.40 Å³/atom
Uncorrected formation energy = 231 meV per atom



# 3
This record from Alexandria via LeMat-Bulk describes crystalline BaZnMo2C at its relaxed geometry. The functional is PBE.

Cell and atoms, written as CIF:
```
data_BaZnMo2C
_chemical_formula_sum 'Ba1 Zn1 Mo2 C1'
_symmetry_space_group_name_H-M 'P 4/m m m'
_symmetry_Int_Tables_number 123
_symmetry_space_group_name_Hall '-P 4 2'
_cell_length_a 4.307
_cell_length_b 4.307
_cell_length_c 5.012
_cell_angle_alpha 90.00
_cell_angle_beta 90.00
_cell_angle_gamma 90.00
loop_
_atom_site_label
_atom_site_type_symbol
_atom_site_fract_x
_atom_site_fract_y
_atom_site_fract_z
Ba1 Ba 0.000 0.000 0.000
Zn1 Zn 0.500 0.500 0.000
Mo1 Mo 0.000 0.500 0.500
C1 C 0.500 0.500 0.500
```

Properties
Total moment = 0.00 Bohr magnetons per cell
E = -29.6 eV for the cell shown
Volume = 18.60 Å³/atom



# 4
This record from Alexandria via LeMat-Bulk describes crystalline Ba2CN3 at its relaxed geometry. The functional is PBE.

Cell and atoms, written as CIF:
```
data_Ba2CN3
_chemical_formula_sum 'Ba16 C8 N24'
_symmetry_space_group_name_H-M 'F m m m'
_symmetry_Int_Tables_number 69
_symmetry_space_group_name_Hall '-F 2 2'
_cell_length_a 7.633
_cell_length_b 10.631
_cell_length_c 12.119
_cell_angle_alpha 90.00
_cell_angle_beta 90.00
_cell_angle_gamma 90.00
loop_
_atom_site_label
_atom_site_type_symbol
_atom_site_fract_x
_atom_site_fract_y
_atom_site_fract_z
Ba1 Ba 0.247 0.000 0.000
Ba2 Ba 0.250 0.250 0.250
C1 C 0.000 0.000 0.208
N1 N 0.000 0.000 0.320
N2 N 0.000 0.109 0.147
```

Properties
Total moment = 7.30 Bohr magnetons per cell
E = -322.7 eV for the cell shown
Volume = 20.49 Å³/atom
Uncorrected formation energy = -382 meV per atom



# 5
This record from Alexandria via LeMat-Bulk describes crystalline Ba3C2N4 at its relaxed geometry. The functional is PBE.

Cell and atoms, written as CIF:
```
data_Ba3C2N4
_chemical_formula_sum 'Ba6 C4 N8'
_symmetry_space_group_name_H-M 'I m m m'
_symmetry_Int_Tables_number 71
_symmetry_space_group_name_Hall '-I 2 2'
_cell_length_a 4.200
_cell_length_b 7.216
_cell_length_c 11.718
_cell_angle_alpha 90.00
_cell_angle_beta 90.00
_cell_angle_gamma 90.00
loop_
_atom_site_label
_atom_site_type_symbol
_atom_site_fract_x
_atom_site_fract_y
_atom_site_fract_z
Ba1 Ba 0.000 0.000 0.000
Ba2 Ba 0.000 0.500 0.199
C1 C 0.000 0.229 0.500
N1 N 0.000 0.245 0.393
```

Properties
Total moment = 0.00 Bohr magnetons per cell
E = -126.6 eV for the cell shown
Volume = 19.73 Å³/atom
Uncorrected formation energy = -642 meV per atom



# 6
This record from Alexandria via LeMat-Bulk describes crystalline Ba2C3N6 at its relaxed geometry. The functional is PBE.

Cell and atoms, written as CIF:
```
data_Ba2C3N6
_chemical_formula_sum 'Ba4 C6 N12'
_symmetry_space_group_name_H-M 'C 1 2/m 1'
_symmetry_Int_Tables_number 12
_symmetry_space_group_name_Hall '-C 2y'
_cell_length_a 16.461
_cell_length_b 4.490
_cell_length_c 5.757
_cell_angle_alpha 90.00
_cell_angle_beta 94.81
_cell_angle_gamma 90.00
loop_
_atom_site_label
_atom_site_type_symbol
_atom_site_fract_x
_atom_site_fract_y
_atom_site_fract_z
Ba1 Ba 0.139 0.000 0.043
C1 C 0.000 0.000 0.500
C2 C 0.176 0.500 0.550
N1 N 0.003 0.000 0.715
N2 N 0.165 0.500 0.335
N3 N 0.188 0.500 0.765
```

Properties
Total moment = 4.05 Bohr magnetons per cell
E = -169.7 eV for the cell shown
Volume = 19.27 Å³/atom
Uncorrected formation energy = -307 meV per atom



# 7
This record from Alexandria via LeMat-Bulk describes crystalline BaCN at its relaxed geometry. The functional is PBE.

Cell and atoms, written as CIF:
```
data_BaCN
_chemical_formula_sum 'Ba4 C4 N4'
_symmetry_space_group_name_H-M 'C 1 2/m 1'
_symmetry_Int_Tables_number 12
_symmetry_space_group_name_Hall '-C 2y'
_cell_length_a 8.555
_cell_length_b 4.609
_cell_length_c 7.190
_cell_angle_alpha 90.00
_cell_angle_beta 117.65
_cell_angle_gamma 90.00
loop_
_atom_site_label
_atom_site_type_symbol
_atom_site_fract_x
_atom_site_fract_y
_atom_site_fract_z
Ba1 Ba 0.249 0.000 0.274
C1 C 0.011 0.500 0.096
N1 N 0.085 0.500 0.305
```

Properties
Total moment = 0.00 Bohr magnetons per cell
E = -82.7 eV for the cell shown
Volume = 20.93 Å³/atom
Uncorrected formation energy = -397 meV per atom



# 8
This record from Alexandria via LeMat-Bulk describes crystalline BaC3N at its relaxed geometry. The functional is PBE.

Cell and atoms, written as CIF:
```
data_BaC3N
_chemical_formula_sum 'Ba1 C3 N1'
_symmetry_space_group_name_H-M 'P m -3 m'
_symmetry_Int_Tables_number 221
_symmetry_space_group_name_Hall '-P 4 2 3'
_cell_length_a 4.850
_cell_length_b 4.850
_cell_length_c 4.850
_cell_angle_alpha 90.00
_cell_angle_beta 90.00
_cell_angle_gamma 90.00
loop_
_atom_site_label
_atom_site_type_symbol
_atom_site_fract_x
_atom_site_fract_y
_atom_site_fract_z
Ba1 Ba 0.000 0.000 0.000
C1 C 0.000 0.000 0.500
N1 N 0.500 0.500 0.500
```

Properties
Total moment = 2.00 Bohr magnetons per cell
E = -13.4 eV for the cell shown
Volume = 22.82 Å³/atom
Uncorrected formation energy = 4913 meV per atom



# 9
This record from Alexandria via LeMat-Bulk describes crystalline BaCN at its relaxed geometry. The functional is PBE.

Cell and atoms, written as CIF:
```
data_BaCN
_chemical_formula_sum 'Ba4 C4 N4'
_symmetry_space_group_name_H-M 'C 1 2/m 1'
_symmetry_Int_Tables_number 12
_symmetry_space_group_name_Hall '-C 2y'
_cell_length_a 5.813
_cell_length_b 5.773
_cell_length_c 6.691
_cell_angle_alpha 90.00
_cell_angle_beta 107.37
_cell_angle_gamma 90.00
loop_
_atom_site_label
_atom_site_type_symbol
_atom_site_fract_x
_atom_site_fract_y
_atom_site_fract_z
Ba1 Ba 0.176 0.000 0.281
C1 C 0.082 0.500 0.092
N1 N 0.184 0.500 0.299
```

Properties
Total moment = 0.00 Bohr magnetons per cell
E = -82.9 eV for the cell shown
Volume = 17.86 Å³/atom
Uncorrected formation energy = -417 meV per atom



# 10
This record from Alexandria via LeMat-Bulk describes crystalline Ba4CN4 at its relaxed geometry. The functional is PBE.

Cell and atoms, written as CIF:
```
data_Ba4CN4
_chemical_formula_sum 'Ba16 C4 N16'
_symmetry_space_group_name_H-M 'P n m a'
_symmetry_Int_Tables_number 62
_symmetry_space_group_name_Hall '-P 2ac 2n'
_cell_length_a 13.189
_cell_length_b 4.060
_cell_length_c 15.634
_cell_angle_alpha 90.00
_cell_angle_beta 90.00
_cell_angle_gamma 90.00
loop_
_atom_site_label
_atom_site_type_symbol
_atom_site_fract_x
_atom_site_fract_y
_atom_site_fract_z
Ba1 Ba 0.087 0.250 0.179
Ba2 Ba 0.099 0.750 0.403
Ba3 Ba 0.140 0.750 0.951
Ba4 Ba 0.175 0.250 0.745
C1 C 0.158 0.750 0.587
N1 N 0.037 0.250 0.859
N2 N 0.069 0.750 0.614
N3 N 0.206 0.250 0.328
N4 N 0.245 0.750 0.557
```

Properties
Total moment = 0.00 Bohr magnetons per cell
E = -221.5 eV for the cell shown
Volume = 23.25 Å³/atom
Uncorrected formation energy = -572 meV per atom



# 11
This record from Alexandria via LeMat-Bulk describes crystalline Ba2CN at its relaxed geometry. The functional is PBE.

Cell and atoms, written as CIF:
```
data_Ba2CN
_chemical_formula_sum 'Ba8 C4 N4'
_symmetry_space_group_name_H-M 'I -4 2 d'
_symmetry_Int_Tables_number 122
_symmetry_space_group_name_Hall 'I -4 2bw'
_cell_length_a 7.137
_cell_length_b 7.137
_cell_length_c 9.046
_cell_angle_alpha 90.00
_cell_angle_beta 90.00
_cell_angle_gamma 90.00
loop_
_atom_site_label
_atom_site_type_symbol
_atom_site_fract_x
_atom_site_fract_y
_atom_site_fract_z
Ba1 Ba 0.216 0.250 0.125
C1 C 0.000 0.000 0.500
N1 N 0.000 0.000 0.000
```

Properties
Total moment = 12.00 Bohr magnetons per cell
E = -73.1 eV for the cell shown
Volume = 28.80 Å³/atom
Uncorrected formation energy = 779 meV per atom



# 12
This record from Alexandria via LeMat-Bulk describes crystalline BaC3N at its relaxed geometry. The functional is PBE.

Cell and atoms, written as CIF:
```
data_BaC3N
_chemical_formula_sum 'Ba1 C3 N1'
_symmetry_space_group_name_H-M 'P m -3 m'
_symmetry_Int_Tables_number 221
_symmetry_space_group_name_Hall '-P 4 2 3'
_cell_length_a 4.018
_cell_length_b 4.018
_cell_length_c 4.018
_cell_angle_alpha 90.00
_cell_angle_beta 90.00
_cell_angle_gamma 90.00
loop_
_atom_site_label
_atom_site_type_symbol
_atom_site_fract_x
_atom_site_fract_y
_atom_site_fract_z
Ba1 Ba 0.000 0.000 0.000
C1 C 0.000 0.500 0.500
N1 N 0.500 0.500 0.500
```

Properties
Total moment = 0.00 Bohr magnetons per cell
E = -22.7 eV for the cell shown
Volume = 12.98 Å³/atom
Uncorrected formation energy = 3039 meV per atom